No. 1
{
  "formula": "HoTl5",
  "functional": "PBE",
  "state": "relaxed",
  "dos_ef_per_ev_fu": 3.453,
  "spacegroup": "Cmmm",
  "cell": [[-3.442, -0.609, 2.930], [-0.998, -4.322, -2.070], [5.283, -1.291, 5.937]],
  "species": ["Tl", "Tl", "Tl", "Tl", "Tl", "Ho"],
  "fractional_positions": [[0.500, 0.835, 0.671], [0.000, 0.665, 0.330], [0.500, 0.500, 0.000], [0.000, 0.335, 0.670], [0.500, 0.165, 0.329], [0.000, 0.000, 0.000]]
}

=====

No. 2
{
  "formula": "Dy2TiGa3Ir4",
  "functional": "PBE",
  "state": "relaxed",
  "dos_ef_per_ev_fu": 5.533,
  "spacegroup": "P-4m2",
  "cell": [[-1.784, 1.475, -3.417], [2.729, -2.058, -2.313], [-6.630, -8.539, -0.223]],
  "species": ["Dy", "Dy", "Ti", "Ga", "Ga", "Ga", "Ir", "Ir", "Ir", "Ir"],
  "fractional_positions": [[0.500, 0.000, 0.231], [0.000, 0.500, 0.769], [0.500, 0.500, 0.500], [0.000, 0.000, 0.500], [0.500, 0.000, 0.871], [0.000, 0.500, 0.129], [0.500, 0.500, 0.000], [0.000, 0.000, 0.000], [0.500, 0.000, 0.641], [0.000, 0.500, 0.359]]
}

=====

Number 1: spin magnetization 0.00 μB per atom, energy relative to the elements -0.06 eV per atom. Number 2: spin magnetization 0.00 μB per atom, energy relative to the elements -0.75 eV per atom.